Record 1
VASP calculation (PBE-GGA) on a relaxed structure of HfSc2N3.

Calculated values
The distance to the lowest polymorph of the same formula is 0.03 eV per formula unit. As for the raw formation energy: -153.20 kJ per mole of atoms.

a = 12.328 Å, b = 3.168 Å, c = 7.766 Å
α = 90.00°, β = 108.66°, γ = 90.00°
Space group C2/m (No. 12)
One atom of each set of equivalent atoms:
Hf: 0.000 0.000 0.000 x2
Hf: 0.000 0.500 0.500 x2
Sc: 0.169 0.000 0.834 x4
Sc: 0.170 0.500 0.336 x4
N: 0.026 0.000 0.307 x4
N: 0.134 0.500 0.028 x4
N: 0.191 0.500 0.638 x4

=====

Record 2
VASP calculation (PBE-GGA) on a relaxed structure of Hf2Sc3N4.

Calculated values
As for the raw formation energy: -163.35 kJ per mole of atoms.

a = 10.661 Å, b = 3.230 Å, c = 7.854 Å
α = 90.00°, β = 120.31°, γ = 90.00°
Space group C2/m (No. 12)
One atom of each set of equivalent atoms:
Hf: 0.105 0.000 0.389 x4
Sc: 0.000 0.500 0.000 x2
Sc: 0.205 0.500 0.808 x4
N: 0.098 0.000 0.895 x4
N: 0.200 0.500 0.303 x4

=====

Record 3
VASP calculation (PBE-GGA) on a relaxed structure of HfSc2N.

Calculated values
As for the raw formation energy: -27.33 kJ per mole of atoms.

a = 6.352 Å, b = 6.352 Å, c = 8.605 Å
α = 90.00°, β = 90.00°, γ = 90.00°
Space group I-42d (No. 122)
One atom of each set of equivalent atoms:
Hf: 0.000 0.000 0.000 x4
Sc: 0.096 0.250 0.625 x8
N: 0.000 0.000 0.500 x4

=====

Record 4
VASP calculation (PBE-GGA) on a relaxed structure of Hf2ScN.

Calculated values
As for the raw formation energy: -63.70 kJ per mole of atoms.

a = 3.1643 Å, b = 3.1643 Å, c = 25.6023 Å
α = 90.00°, β = 90.00°, γ = 120.00°
Space group R-3m (No. 166, hexagonal axes)
One atom of each set of equivalent atoms:
Hf: 0.0000 0.0000 0.1171 x6
Sc: 0.0000 0.0000 0.0000 x3
N: 0.0000 0.0000 0.5000 x3

=====

Record 5
VASP calculation (PBE-GGA) on a relaxed structure of HfSc2N.

Calculated values
As for the raw formation energy: -34.03 kJ per mole of atoms.

a = 2.945 Å, b = 2.945 Å, c = 7.686 Å
α = 90.00°, β = 90.00°, γ = 90.00°
Space group P4/mmm (No. 123)
One atom of each set of equivalent atoms:
Hf: 0.000 0.000 0.000 x1
Sc: 0.500 0.500 0.332 x2
N: 0.000 0.000 0.500 x1

=====

Record 6
VASP calculation (PBE-GGA) on a relaxed structure of HfScN.

Calculated values
The distance to the lowest polymorph of the same formula is 2.01 eV per formula unit. As for the raw formation energy: -53.82 kJ per mole of atoms.

a = 3.104 Å, b = 5.489 Å, c = 6.077 Å
α = 90.00°, β = 90.00°, γ = 90.00°
Space group Imm2 (No. 44)
One atom of each set of equivalent atoms:
Hf: 0.000 0.000 0.000 x2
Sc: 0.000 0.000 0.485 x2
N: 0.000 0.500 0.737 x2

=====

Record 7
VASP calculation (PBE-GGA) on a relaxed structure of Hf2Sc2N.

Calculated values
The distance to the lowest polymorph of the same formula is 0.00 eV per formula unit. As for the raw formation energy: -25.39 kJ per mole of atoms.

a = 6.006 Å, b = 6.006 Å, c = 5.543 Å
α = 90.00°, β = 90.00°, γ = 90.00°
Space group P4/mbm (No. 127)
One atom of each set of equivalent atoms:
Hf: 0.174 0.326 0.000 x4
Sc: 0.158 0.658 0.500 x4
N: 0.000 0.000 0.000 x2

=====

Record 8
VASP calculation (PBE-GGA) on a relaxed structure of Hf3ScN2.

Calculated values
The distance to the lowest polymorph of the same formula is 0.00 eV per formula unit. As for the raw formation energy: -118.53 kJ per mole of atoms.

a = 6.4728 Å, b = 6.4728 Å, c = 5.2108 Å
α = 90.00°, β = 90.00°, γ = 120.00°
Space group P-3m1 (No. 164)
One atom of each set of equivalent atoms:
Hf: 0.1673 0.3346 0.2387 x6
Sc: 0.3333 0.6667 0.7544 x2
N: 0.0000 0.0000 0.0000 x1
N: 0.0000 0.5000 0.0000 x3

=====

Record 9
VASP calculation (PBE-GGA) on a relaxed structure of Hf4Sc3N8.

Calculated values
As for the raw formation energy: -168.95 kJ per mole of atoms.

a = 8.967 Å, b = 9.026 Å, c = 6.379 Å
α = 90.00°, β = 134.60°, γ = 90.00°
Space group C2/m (No. 12)
One atom of each set of equivalent atoms:
Hf: 0.000 0.000 0.000 x2
Hf: 0.000 0.000 0.500 x2
Hf: 0.250 0.250 0.000 x4
Sc: 0.000 0.500 0.500 x2
Sc: 0.250 0.250 0.500 x4
N: 0.000 0.240 0.000 x4
N: 0.000 0.248 0.500 x4
N: 0.234 0.000 0.476 x4
N: 0.239 0.000 0.995 x4

=====

Record 10
VASP calculation (PBE-GGA) on a relaxed structure of HfScSe2N.

Calculated values
The distance to the lowest polymorph of the same formula is 2.54 eV per formula unit. As for the raw formation energy: -13.39 kJ per mole of atoms.

a = 5.117 Å, b = 5.117 Å, c = 3.871 Å
α = 90.00°, β = 90.00°, γ = 90.00°
Space group P4/mmm (No. 123)
One atom of each set of equivalent atoms:
Hf: 0.000 0.000 0.000 x1
Sc: 0.500 0.500 0.500 x1
Se: 0.000 0.500 0.500 x2
N: 0.500 0.500 0.000 x1

=====

Record 11
VASP calculation (PBE-GGA) on a relaxed structure of HfScSe2N.

Calculated values
The distance to the lowest polymorph of the same formula is 0.00 eV per formula unit. As for the raw formation energy: -62.37 kJ per mole of atoms.

a = 5.231 Å, b = 5.231 Å, c = 3.977 Å
α = 90.00°, β = 90.00°, γ = 90.00°
Space group P4/mmm (No. 123)
One atom of each set of equivalent atoms:
Hf: 0.000 0.000 0.000 x1
Sc: 0.500 0.500 0.500 x1
Se: 0.000 0.500 0.000 x2
N: 0.000 0.000 0.500 x1

=====

Record 12
VASP calculation (PBE-GGA) on a relaxed structure of HfSc2SeN.

Calculated values
As for the raw formation energy: 131.73 kJ per mole of atoms.

a = 5.323 Å, b = 5.323 Å, c = 4.808 Å
α = 90.00°, β = 90.00°, γ = 90.00°
Space group P4/mmm (No. 123)
One atom of each set of equivalent atoms:
Hf: 0.000 0.000 0.000 x1
Sc: 0.000 0.500 0.000 x2
Se: 0.000 0.000 0.500 x1
N: 0.500 0.500 0.500 x1

=====

Repeat the eleventh record exactly.
VASP calculation (PBE-GGA) on a relaxed structure of HfScSe2N.

Calculated values
The distance to the lowest polymorph of the same formula is 0.00 eV per formula unit. As for the raw formation energy: -62.37 kJ per mole of atoms.

a = 5.231 Å, b = 5.231 Å, c = 3.977 Å
α = 90.00°, β = 90.00°, γ = 90.00°
Space group P4/mmm (No. 123)
One atom of each set of equivalent atoms:
Hf: 0.000 0.000 0.000 x1
Sc: 0.500 0.500 0.500 x1
Se: 0.000 0.500 0.000 x2
N: 0.000 0.000 0.500 x1

=====

What did the ninth record say?
VASP calculation (PBE-GGA) on a relaxed structure of Hf4Sc3N8.

Calculated values
As for the raw formation energy: -168.95 kJ per mole of atoms.

a = 8.967 Å, b = 9.026 Å, c = 6.379 Å
α = 90.00°, β = 134.60°, γ = 90.00°
Space group C2/m (No. 12)
One atom of each set of equivalent atoms:
Hf: 0.000 0.000 0.000 x2
Hf: 0.000 0.000 0.500 x2
Hf: 0.250 0.250 0.000 x4
Sc: 0.000 0.500 0.500 x2
Sc: 0.250 0.250 0.500 x4
N: 0.000 0.240 0.000 x4
N: 0.000 0.248 0.500 x4
N: 0.234 0.000 0.476 x4
N: 0.239 0.000 0.995 x4

=====

What did the tenth record say?
VASP calculation (PBE-GGA) on a relaxed structure of HfScSe2N.

Calculated values
The distance to the lowest polymorph of the same formula is 2.54 eV per formula unit. As for the raw formation energy: -13.39 kJ per mole of atoms.

a = 5.117 Å, b = 5.117 Å, c = 3.871 Å
α = 90.00°, β = 90.00°, γ = 90.00°
Space group P4/mmm (No. 123)
One atom of each set of equivalent atoms:
Hf: 0.000 0.000 0.000 x1
Sc: 0.500 0.500 0.500 x1
Se: 0.000 0.500 0.500 x2
N: 0.500 0.500 0.000 x1